GaMo3N, relaxed, DFT PBE; total magnetic moment = 0.00 μB/cell; crystal system = cubic; total energy = -44.6 eV per formula unit
1.0
4.1094 0.0000 0.0000
0.0000 4.1094 0.0000
0.0000 0.0000 4.1094
Ga Mo N
1 3 1
direct
0.0000 0.0000 0.0000
0.0000 0.5000 0.5000
0.5000 0.0000 0.5000
0.5000 0.5000 0.0000
0.5000 0.5000 0.5000